LaNiOs2, single point on PBEsol structure, DFT SCAN; energy relative to the elements = 0.62 eV per atom
1.0
2.902 0.000 0.000
0.000 4.864 0.000
0.000 0.000 9.550
La Ni Os
2 2 4
direct
0.000 0.000 0.000 La
0.500 0.500 0.500 La
0.000 0.500 0.228 Ni
0.500 0.000 0.728 Ni
0.000 0.000 0.508 Os
0.000 0.500 0.783 Os
0.500 0.000 0.283 Os
0.500 0.500 0.008 Os